Record 1
This record from Alexandria via LeMat-Bulk describes a relaxed Mg2MnSb crystal. The functional is GGA-PBE.

Cell: 3.3938 3.9536 6.0913 Å, 90.00 90.00 90.00°
Element x y z (fractional)
Mg  0.0000  0.0000  0.0000
Mg  0.5000  0.5000  0.2576
Mn  0.5000  0.5000  0.7611
Sb  0.0000  0.0000  0.5338

Calculated values
E_form (uncorrected) in eV/f.u.: 0.2
Symmetry: Pmm2 (25)

Record 2
This record from Alexandria via LeMat-Bulk describes a relaxed LuScAu2 crystal. The functional is GGA-PBE.

Cell: 3.4646 3.4646 6.9349 Å, 90.00 90.00 90.00°
Element x y z (fractional)
Lu  0.0000  0.0000  0.0000
Sc  0.0000  0.0000  0.5000
Au  0.5000  0.5000  0.2624
Au  0.5000  0.5000  0.7376

Calculated values
Distance to the lowest polymorph of the same formula in meV/atom: 0
Energy relative to the elements in meV per atom: -850
Symmetry: P4/mmm (123)

Record 3
This record from Alexandria via LeMat-Bulk describes a relaxed Y2CdSe crystal. The functional is GGA-PBE.

Cell: 9.3925 9.3925 9.3925 Å, 23.57 23.57 23.57°
Element x y z (fractional)
Y  0.0000  0.0000  0.0000
Y  0.2297  0.2297  0.2297
Cd  0.7573  0.7573  0.7573
Se  0.4968  0.4968  0.4968

Calculated values
E_form (uncorrected) in eV/f.u.: -2.3
Distance to the lowest polymorph of the same formula in meV/atom: 471
Symmetry: R3m (160)